[1]
## ZnGaPS (GGA-PBEsol)

Data for ZnGaPS after structural relaxation.

Cell lengths 3.8154, 3.8154, 18.7343 Å; angles 90.00, 90.00, 120.00 degrees
Space group R3m (No. 160, hexagonal axes)
One atom of each set of equivalent atoms:
Zn: 0.0000 0.0000 0.0000 [3 per cell]
Ga: 0.0000 0.0000 0.5025 [3 per cell]
P: 0.0000 0.0000 0.8758 [3 per cell]
S: 0.0000 0.0000 0.3776 [3 per cell]

The calculation puts the total energy at -4.356 eV/atom. The value obtained for the total magnetic moment is 0.0 Bohr magnetons per cell.

=====

[2]
## V4GeS8 (GGA-PBEsol)

Data for V4GeS8 after structural relaxation.

Cell lengths 6.696, 6.741, 9.502 Å; angles 90.00, 90.00, 90.00 degrees
Space group Imm2 (No. 44)
One atom of each set of equivalent atoms:
V: 0.000 0.208 0.000 [4 per cell]
V: 0.202 0.000 0.795 [4 per cell]
Ge: 0.000 0.000 0.395 [2 per cell]
S: 0.000 0.264 0.766 [4 per cell]
S: 0.000 0.276 0.260 [4 per cell]
S: 0.227 0.500 0.034 [4 per cell]
S: 0.239 0.500 0.528 [4 per cell]

The calculation puts the total energy at -6.962 eV/atom. The value obtained for the total magnetic moment is 3.7 Bohr magnetons per cell.

=====

[3]
## KTaPt (GGA-PBEsol)

Data for KTaPt after structural relaxation.

Cell lengths 6.516, 6.516, 6.516 Å; angles 90.00, 90.00, 90.00 degrees
Space group F-43m (No. 216)
One atom of each set of equivalent atoms:
K: 0.000 0.000 0.000 [4 per cell]
Ta: 0.000 0.000 0.500 [4 per cell]
Pt: 0.250 0.250 0.250 [4 per cell]

As for the distance to the lowest polymorph of the same formula: 0 meV/atom. The value obtained for the total magnetic moment is 4.0 Bohr magnetons per cell. For the formation energy, the calculation gives 1.1660 eV/atom.

=====

[4]
## DyGe2Pd2 (GGA-PBEsol)

Data for DyGe2Pd2 after structural relaxation.

Cell lengths 4.188, 4.188, 10.091 Å; angles 90.00, 90.00, 90.00 degrees
Space group I4/mmm (No. 139)
One atom of each set of equivalent atoms:
Dy: 0.000 0.000 0.000 [2 per cell]
Ge: 0.000 0.000 0.381 [4 per cell]
Pd: 0.000 0.500 0.250 [4 per cell]

The value obtained for the total magnetic moment is 0.0 Bohr magnetons per cell. For the formation energy, the calculation gives -0.8425 eV/atom.

=====

[5]
## SiAuCl2 (GGA-PBEsol)

Data for SiAuCl2 after structural relaxation.

Cell lengths 3.046, 3.046, 9.143 Å; angles 90.00, 90.00, 90.00 degrees
Space group P4/mmm (No. 123)
One atom of each set of equivalent atoms:
Si: 0.000 0.000 0.000 [1 per cell]
Au: 0.000 0.000 0.500 [1 per cell]
Cl: 0.500 0.500 0.177 [2 per cell]

The calculation puts the total energy at -3.178 eV/atom. The value obtained for the total magnetic moment is 0.0 Bohr magnetons per cell.

=====

[6]
## BeZnTc2 (GGA-PBEsol)

Data for BeZnTc2 after structural relaxation.

Cell lengths 3.055, 4.099, 7.784 Å; angles 90.00, 90.00, 90.00 degrees
Space group Imm2 (No. 44)
One atom of each set of equivalent atoms:
Be: 0.000 0.000 0.000 [2 per cell]
Zn: 0.000 0.500 0.280 [2 per cell]
Tc: 0.000 0.000 0.510 [2 per cell]
Tc: 0.000 0.500 0.739 [2 per cell]

As for the distance to the lowest polymorph of the same formula: 75 meV/atom. The value obtained for the total magnetic moment is 0.0 Bohr magnetons per cell. For the formation energy, the calculation gives 0.0295 eV/atom.

=====

[7]
## TaCoSCl2 (GGA-PBEsol)

Data for TaCoSCl2 after structural relaxation.

Cell lengths 4.298, 4.298, 4.509 Å; angles 90.00, 90.00, 90.00 degrees
Space group P4/mmm (No. 123)
One atom of each set of equivalent atoms:
Ta: 0.000 0.000 0.000 [1 per cell]
Co: 0.500 0.500 0.500 [1 per cell]
S: 0.500 0.500 0.000 [1 per cell]
Cl: 0.000 0.500 0.500 [2 per cell]

The calculation puts the total energy at -5.248 eV/atom. The value obtained for the total magnetic moment is 2.1 Bohr magnetons per cell.

=====

[8]
## LaScCu2 (GGA-PBEsol)

Data for LaScCu2 after structural relaxation.

Cell lengths 4.5417, 4.5417, 14.0759 Å; angles 90.00, 90.00, 120.00 degrees
Space group R-3m (No. 166, hexagonal axes)
One atom of each set of equivalent atoms:
La: 0.0000 0.0000 0.0000 [3 per cell]
Sc: 0.0000 0.0000 0.5000 [3 per cell]
Cu: 0.0000 0.0000 0.2046 [6 per cell]

As for the distance to the lowest polymorph of the same formula: 29 meV/atom. The value obtained for the total magnetic moment is 0.0 Bohr magnetons per cell. For the formation energy, the calculation gives -0.1356 eV/atom.

=====

[9]
## Al2RhW (GGA-PBEsol)

Data for Al2RhW after structural relaxation.

Cell lengths 4.267, 4.267, 6.229 Å; angles 90.00, 90.00, 90.00 degrees
Space group I4/mmm (No. 139)
One atom of each set of equivalent atoms:
Al: 0.000 0.500 0.250 [4 per cell]
Rh: 0.000 0.000 0.000 [2 per cell]
W: 0.000 0.000 0.500 [2 per cell]

As for the distance to the lowest polymorph of the same formula: 124 meV/atom. The value obtained for the total magnetic moment is 2.4 Bohr magnetons per cell. For the formation energy, the calculation gives -0.1782 eV/atom.

=====

[10]
## SbAsRu3 (GGA-PBEsol)

Data for SbAsRu3 after structural relaxation.

Cell lengths 4.736, 4.736, 4.736 Å; angles 90.00, 90.00, 90.00 degrees
Space group Pm-3m (No. 221)
One atom of each set of equivalent atoms:
Sb: 0.000 0.000 0.000 [1 per cell]
As: 0.500 0.500 0.500 [1 per cell]
Ru: 0.000 0.000 0.500 [3 per cell]

The calculation puts the total energy at -6.180 eV/atom. The value obtained for the total magnetic moment is 0.6 Bohr magnetons per cell.

=====

[11]
## Ba2SbRuI (GGA-PBEsol)

Data for Ba2SbRuI after structural relaxation.

Cell lengths 6.543, 6.543, 4.821 Å; angles 90.00, 90.00, 90.00 degrees
Space group P4/mmm (No. 123)
One atom of each set of equivalent atoms:
Ba: 0.000 0.500 0.000 [2 per cell]
Sb: 0.000 0.000 0.000 [1 per cell]
Ru: 0.000 0.000 0.500 [1 per cell]
I: 0.500 0.500 0.500 [1 per cell]

The calculation puts the total energy at -4.380 eV/atom. The value obtained for the total magnetic moment is 0.4 Bohr magnetons per cell.

=====

[12]
## LaSiNi (GGA-PBEsol)

Data for LaSiNi after structural relaxation.

Cell lengths 6.378, 6.378, 6.378 Å; angles 90.00, 90.00, 90.00 degrees
Space group F-43m (No. 216)
One atom of each set of equivalent atoms:
La: 0.000 0.000 0.000 [4 per cell]
Si: 0.250 0.250 0.250 [4 per cell]
Ni: 0.000 0.000 0.500 [4 per cell]

The calculation puts the total energy at -5.800 eV/atom. The value obtained for the total magnetic moment is 0.1 Bohr magnetons per cell.